Record 1
Here is an optimized crystal structure of PuPaTc4 from Alexandria via LeMat-Bulk. Energies are from PBE.

abc: 5.3684 5.3684 5.3684
angles: 60.00 60.00 60.00
Site moments in Bohr magnetons follow the coordinates.
Atoms (fractional coordinates):
Pa1 0.2500 0.2500 0.2500  -0.07
Tc1 0.6253 0.6253 0.1241  -0.23
Tc2 0.6253 0.1241 0.6253  -0.23
Tc3 0.6253 0.6253 0.6253  -0.23
Tc4 0.1241 0.6253 0.6253  -0.23
Pu1 0.0000 0.0000 0.0000  4.77

The value obtained for the calculated formation energy is -69 meV/atom. As for the total energy: -0.4025 hartree per atom. The value obtained for the density of states at the Fermi level is 13.14 states/eV/f.u.

***

Record 2
Here is an optimized crystal structure of Sc4Ga from Alexandria via LeMat-Bulk. Energies are from PBE.

abc: 4.7472 6.1046 8.4202
angles: 111.25 106.37 90.00
Atoms (fractional coordinates):
Sc1 0.1028 0.3528 0.2057
Sc2 0.8972 0.6472 0.7943
Sc3 0.5000 0.0000 0.0000
Sc4 0.5000 0.5000 0.0000
Sc5 0.6966 0.1911 0.3933
Sc6 0.3034 0.8089 0.6067
Sc7 0.3034 0.2979 0.6067
Sc8 0.6966 0.7021 0.3933
Ga1 0.8862 0.1362 0.7724
Ga2 0.1138 0.8638 0.2276

The value obtained for the calculated formation energy is -166 meV/atom. As for the total energy: -0.2145 hartree per atom. The value obtained for the density of states at the Fermi level is 7.34 states/eV/f.u. Its polymorph energy (0 for the lowest one) is 0.000 eV/atom.

***

Record 3
Here is an optimized crystal structure of ReSb2Os from Alexandria via LeMat-Bulk. Energies are from PBE.

abc: 2.9353 3.8243 7.7797
angles: 90.00 90.00 90.00
Atoms (fractional coordinates):
Os1 0.0000 0.0000 0.5500
Re1 0.5000 0.5000 0.6980
Sb1 0.0000 0.0000 0.9176
Sb2 0.5000 0.5000 0.3344

For the formation energy without anion corrections, the calculation gives 0.40 eV per atom. As for the total energy: -0.2787 hartree per atom. The value obtained for the density of states at the Fermi level is 3.52 states/eV/f.u. Its polymorph energy (0 for the lowest one) is 0.107 eV/atom.

***

Record 4
Here is an optimized crystal structure of La8P3PtI4 from Alexandria via LeMat-Bulk. Energies are from PBE.

abc: 8.6615 9.2483 8.6616
angles: 117.92 120.00 90.00
Atoms (fractional coordinates):
La1 0.2332 0.6975 0.9643
La2 0.2332 0.6975 0.4665
La3 0.2682 0.3045 0.5363
La4 0.7311 0.6975 0.9643
La5 0.2689 0.3025 0.0357
La6 0.7318 0.6955 0.4637
La7 0.7668 0.3025 0.5335
La8 0.7668 0.3025 0.0357
P1 0.5000 0.5000 0.0000
P2 0.5000 0.5000 0.5000
P3 0.0000 0.5000 0.5000
Pt1 0.0000 0.5000 0.0000
I1 0.5000 0.0000 0.0000
I2 0.5000 0.0000 0.5000
I3 0.0000 0.0000 0.0000
I4 0.0000 0.0000 0.5000

For the formation energy without anion corrections, the calculation gives -1.36 eV per atom. As for the total energy: -0.2059 hartree per atom. The value obtained for the density of states at the Fermi level is 10.84 states/eV/f.u.